Entry from Alexandria: crystalline Eu2CuBr at its relaxed geometry (PBE).

## Properties
As for the polymorph energy (0 for the lowest one): 0.0666 eV per atom. For the uncorrected formation energy, the calculation gives -0.683 eV per atom.

```
Eu2CuBr
1.0
3.680 0.000 0.000
0.000 3.680 0.000
0.000 0.000 8.129
Eu Cu Br
2 1 1
direct
0.000 0.000 0.221
0.000 0.000 0.779
0.500 0.500 0.000
0.500 0.500 0.500
```